Entry 1:
{
  "formula": "TaFe9W2",
  "functional": "GGA-PBE",
  "state": "optimized geometry",
  "lattice": [[2.350, 1.357, 7.633], [-2.350, 1.357, 7.633], [0.000, -2.714, 7.633]],
  "species": ["Ta", "Fe", "Fe", "Fe", "Fe", "Fe", "Fe", "Fe", "Fe", "Fe", "W", "W"],
  "frac_coords": [[0.000, 0.000, 0.000], [0.077, 0.589, 0.589], [0.335, 0.335, 0.335], [0.411, 0.411, 0.923], [0.411, 0.923, 0.411], [0.500, 0.500, 0.500], [0.589, 0.077, 0.589], [0.589, 0.589, 0.077], [0.665, 0.665, 0.665], [0.923, 0.411, 0.411], [0.139, 0.139, 0.139], [0.861, 0.861, 0.861]],
  "spacegroup": "R-3m (166)",
  "total_magnetization_mub_per_atom": 0.70,
  "e_tot_ev_per_atom": -9.470,
  "delta_e_f_mev_per_atom": 24
}

---

Entry 2:
{
  "formula": "TaFe4W",
  "functional": "GGA-PBE",
  "state": "optimized geometry",
  "lattice": [[0.000, 3.367, 3.367], [3.367, 0.000, 3.367], [3.367, 3.367, 0.000]],
  "species": ["Ta", "Fe", "Fe", "Fe", "Fe", "W"],
  "frac_coords": [[0.000, 0.000, 0.000], [0.375, 0.375, 0.375], [0.375, 0.375, 0.875], [0.375, 0.875, 0.375], [0.875, 0.375, 0.375], [0.750, 0.750, 0.750]],
  "spacegroup": "F-43m (216)",
  "relative_energy_mev_per_atom": 18,
  "total_magnetization_mub_per_atom": 0.86,
  "e_tot_ev_per_atom": -9.871,
  "delta_e_f_mev_per_atom": -95
}

---

Entry 3:
{
  "formula": "TaFeW2",
  "functional": "GGA-PBE",
  "state": "optimized geometry",
  "lattice": [[3.757, 0.000, 0.000], [0.000, 3.757, 0.000], [0.000, 0.000, 4.463]],
  "species": ["Ta", "Fe", "W", "W"],
  "frac_coords": [[0.000, 0.000, 0.000], [0.500, 0.500, 0.000], [0.000, 0.500, 0.500], [0.500, 0.000, 0.500]],
  "spacegroup": "P4/mmm (123)",
  "relative_energy_mev_per_atom": 195,
  "total_magnetization_mub_per_atom": 0.50,
  "e_tot_ev_per_atom": -11.350,
  "delta_e_f_mev_per_atom": 206
}

---

Entry 4:
{
  "formula": "TaFeW2",
  "functional": "GGA-PBE",
  "state": "optimized geometry",
  "lattice": [[2.722, 0.000, 0.000], [0.000, 4.426, 0.000], [-0.861, 0.000, 5.181]],
  "species": ["Ta", "Fe", "W", "W"],
  "frac_coords": [[0.000, 0.000, 0.000], [0.251, 0.500, 0.759], [0.491, 0.000, 0.504], [0.739, 0.500, 0.263]],
  "spacegroup": "Pm (6)",
  "relative_energy_mev_per_atom": 72,
  "total_magnetization_mub_per_atom": 0.44,
  "e_tot_ev_per_atom": -11.473,
  "delta_e_f_mev_per_atom": 83
}

---

Entry 5:
{
  "formula": "TaFeW2",
  "functional": "GGA-PBE",
  "state": "optimized geometry",
  "lattice": [[2.831, 0.000, 0.000], [-1.416, 2.452, 0.000], [0.000, 0.000, 27.224]],
  "species": ["Ta", "Ta", "Ta", "Fe", "Fe", "Fe", "W", "W", "W", "W", "W", "W"],
  "frac_coords": [[0.000, 0.000, 0.000], [0.333, 0.667, 0.667], [0.667, 0.333, 0.333], [0.000, 0.000, 0.746], [0.333, 0.667, 0.413], [0.667, 0.333, 0.080], [0.000, 0.000, 0.241], [0.000, 0.000, 0.486], [0.333, 0.667, 0.153], [0.333, 0.667, 0.908], [0.667, 0.333, 0.575], [0.667, 0.333, 0.820]],
  "spacegroup": "R3m (160)",
  "relative_energy_mev_per_atom": 357,
  "total_magnetization_mub_per_atom": 0.32,
  "e_tot_ev_per_atom": -11.187,
  "delta_e_f_mev_per_atom": 368
}

---

Entry 6:
{
  "formula": "Ta2Fe2W",
  "functional": "GGA-PBE",
  "state": "optimized geometry",
  "lattice": [[6.971, 0.000, 0.000], [0.000, 6.971, 0.000], [0.000, 0.000, 3.036]],
  "species": ["Ta", "Ta", "Ta", "Ta", "Fe", "Fe", "Fe", "Fe", "W", "W"],
  "frac_coords": [[0.169, 0.331, 0.000], [0.331, 0.831, 0.000], [0.669, 0.169, 0.000], [0.831, 0.669, 0.000], [0.129, 0.629, 0.500], [0.371, 0.129, 0.500], [0.629, 0.871, 0.500], [0.871, 0.371, 0.500], [0.000, 0.000, 0.500], [0.500, 0.500, 0.500]],
  "spacegroup": "P4/mbm (127)",
  "total_magnetization_mub_per_atom": 0.00,
  "e_tot_ev_per_atom": -10.606,
  "delta_e_f_mev_per_atom": 111
}